Entry 1:
Density functional theory data (PBE) for RuPbO4 after structural relaxation.

Cell: 6.6650 6.6650 8.3091 Å, 108.31 108.31 33.13°
With the nearest neighbours (Å) after each atom.
Atoms (fractional coordinates):
Ru (0.0919, 0.0919, 0.1804)  6 O 1.88-2.01
Ru (0.9081, 0.9081, 0.8196)  6 O 1.88-2.01
Pb (0.1411, 0.1411, 0.6934)  5 O 2.29-2.48
Pb (0.8589, 0.8589, 0.3066)  5 O 2.29-2.48
O (0.0642, 0.0642, 0.3889)  1 Ru 1.88
O (0.0719, 0.0719, 0.9300)  2 Ru 1.99-2.01
O (0.2527, 0.2527, 0.2431)  1 Ru 1.95
O (0.4020, 0.4020, 0.8177)  2 Ru 1.90
O (0.5980, 0.5980, 0.1823)  2 Ru 1.90
O (0.7473, 0.7473, 0.7569)  1 Ru 1.95
O (0.9281, 0.9281, 0.0700)  2 Ru 1.99-2.01
O (0.9358, 0.9358, 0.6111)  1 Ru 1.88

## Properties
- E above lowest polymorph (meV per atom) = 27
- DOS at the Fermi energy (states/eV per atom) = 0.57
- formation energy without anion corrections (meV per atom) = -878

=====

Entry 2:
Density functional theory data (PBE) for LiLaBe after structural relaxation.

Cell: 5.8613 5.8613 5.8613 Å, 145.57 145.57 49.48°
With the nearest neighbours (Å) after each atom.
Atoms (fractional coordinates):
Li (0.0000, 0.0000, 0.0000)  4 Be 2.71, 1 La 2.95
La (0.7227, 0.7227, 0.0000)  1 Li 2.95, 4 Be 3.05
Be (0.3926, 0.3926, 0.0000)  4 Li 2.71

## Properties
- formation energy (meV/atom) = 312
- E above lowest polymorph (meV per atom) = 70
- DOS at the Fermi energy (states/eV per atom) = 0.97

=====

Entry 3:
Density functional theory data (PBE) for Ac2BrCl2O2 after structural relaxation.

Cell: 4.2236 4.2236 14.8150 Å, 90.00 90.00 120.00°
With the nearest neighbours (Å) after each atom.
Atoms (fractional coordinates):
Ac (0.3333, 0.6667, 0.1071)  4 O 2.50-2.53
Ac (0.6667, 0.3333, 0.8929)  4 O 2.50-2.53
Br (0.0000, 0.0000, 0.5000)  2 Cl 4.01, 6 Br 4.22
Cl (0.0000, 0.0000, 0.2292)  3 Ac 3.04
Cl (0.0000, 0.0000, 0.7708)  3 Ac 3.04
O (0.3333, 0.6667, 0.9387)  4 Ac 2.50-2.53
O (0.6667, 0.3333, 0.0613)  4 Ac 2.50-2.53

## Properties
- DOS at the Fermi energy (states/eV per atom) = 0.83
- formation energy without anion corrections (meV per atom) = -2461

=====

Entry 4:
Density functional theory data (PBE) for TiBr3 after structural relaxation.

Cell: 12.1404 12.1404 12.1404 Å, 16.73 16.73 16.73°
With the nearest neighbours (Å) after each atom.
Atoms (fractional coordinates):
Ti (0.0000, 0.0000, 0.0000)  2 Br 2.32
Br (0.0646, 0.0646, 0.0646)  1 Ti 2.32
Br (0.5000, 0.5000, 0.5000)  6 Br 3.53
Br (0.9354, 0.9354, 0.9354)  1 Ti 2.32

## Properties
- DOS at the Fermi energy (states/eV per atom) = 0.67
- formation energy without anion corrections (meV per atom) = -117

=====

Entry 5:
Density functional theory data (PBE) for YAl3CuPd after structural relaxation.

Cell: 6.8931 6.8931 5.7571 Å, 90.00 90.00 127.12°
With the nearest neighbours (Å) after each atom.
Atoms (fractional coordinates):
Y (0.2140, 0.7860, 0.7500)  1 Cu 2.68
Y (0.7860, 0.2140, 0.2500)  1 Cu 2.68
Al (0.2120, 0.2120, 0.0000)  2 Cu 2.43, 1 Al 2.60, 2 Pd 2.65
Al (0.2120, 0.2120, 0.5000)  2 Cu 2.43, 1 Al 2.60, 2 Pd 2.65
Al (0.3566, 0.6434, 0.2500)  1 Pd 2.60, 1 Cu 2.62, 4 Al 2.89
Al (0.6434, 0.3566, 0.7500)  1 Pd 2.60, 1 Cu 2.62, 4 Al 2.89
Al (0.7880, 0.7880, 0.0000)  2 Cu 2.43, 1 Al 2.60, 2 Pd 2.65
Al (0.7880, 0.7880, 0.5000)  2 Cu 2.43, 1 Al 2.60, 2 Pd 2.65
Cu (0.4309, 0.5691, 0.7500)  5 Al 2.43-2.62, 1 Y 2.68
Cu (0.5691, 0.4309, 0.2500)  5 Al 2.43-2.62, 1 Y 2.68
Pd (0.1457, 0.8543, 0.2500)  5 Al 2.60-2.65
Pd (0.8543, 0.1457, 0.7500)  5 Al 2.60-2.65

## Properties
- formation energy (meV/atom) = -420
- DOS at the Fermi energy (states/eV per atom) = 0.33

=====

Entry 6:
Density functional theory data (PBE) for Pu2Ni3P4Pt after structural relaxation.

Cell: 4.0580 4.0580 9.2048 Å, 90.00 90.00 90.00°
With the nearest neighbours (Å) after each atom.
Atoms (fractional coordinates):
Pu (0.0000, 0.5000, 0.2353)  8 P 2.97-3.07, 7 Ni 3.09-3.19, 2 Pt 3.17
Pu (0.5000, 0.0000, 0.7647)  8 P 2.97-3.07, 7 Ni 3.09-3.19, 2 Pt 3.17
Ni (0.0000, 0.5000, 0.8890)  5 P 2.24-2.27
Ni (0.5000, 0.0000, 0.1110)  5 P 2.24-2.27
Ni (0.5000, 0.5000, 0.5000)  4 P 2.43
P (0.0000, 0.0000, 0.0000)  4 Ni 2.27
P (0.0000, 0.5000, 0.6457)  3 Ni 2.24-2.43, 2 Pt 2.43
P (0.5000, 0.0000, 0.3543)  3 Ni 2.24-2.43, 2 Pt 2.43
P (0.5000, 0.5000, 0.0000)  4 Ni 2.27
Pt (0.0000, 0.0000, 0.5000)  4 P 2.43

## Properties
- formation energy (meV/atom) = -836
- DOS at the Fermi energy (states/eV per atom) = 2.17

=====

Question: Look up the DOS at the Fermi energy of the fifth one.
Answer: 0.33 states/eV per atom

=====

Question: Number 3 is which compound?
Answer: Ac2BrCl2O2

=====

Please write out number 4 again, unchanged.
Density functional theory data (PBE) for TiBr3 after structural relaxation.

Cell: 12.1404 12.1404 12.1404 Å, 16.73 16.73 16.73°
With the nearest neighbours (Å) after each atom.
Atoms (fractional coordinates):
Ti (0.0000, 0.0000, 0.0000)  2 Br 2.32
Br (0.0646, 0.0646, 0.0646)  1 Ti 2.32
Br (0.5000, 0.5000, 0.5000)  6 Br 3.53
Br (0.9354, 0.9354, 0.9354)  1 Ti 2.32

## Properties
- DOS at the Fermi energy (states/eV per atom) = 0.67
- formation energy without anion corrections (meV per atom) = -117